1.
A plane-wave DFT calculation with meta-GGA SCAN was carried out for a PBEsol-optimized structure of Li2InAg2.

The space group is I4/mmm (No. 139) and the conventional cell measures 3.8438, 3.8438 and 12.7230 Å, with angles of 90.00, 90.00 and 90.00 degrees. The distinct sites, in fractional coordinates, are Li at (0.0000, 0.5000, 0.2500), In at (0.0000, 0.0000, 0.0000) and Ag at (0.0000, 0.0000, 0.3951).

The value obtained for the offset from the most stable computed form is 0.215 eV/atom. The calculation puts the formation energy at 0.008 eV per atom. The calculation puts the mass density at 6.09 g/cm3. The value obtained for the volume is 187.98 Å³/cell. For the total DFT energy (no corrections), the calculation gives -20.172 eV per atom. The size of the total moment comes out at 0.00 μB/f.u.

2.
A plane-wave DFT calculation with meta-GGA SCAN was carried out for a PBEsol-optimized structure of Li2InAg.

The space group is P4mm (No. 99) and the conventional cell measures 3.3261, 3.3261 and 6.3139 Å, with angles of 90.00, 90.00 and 90.00 degrees. The distinct sites, in fractional coordinates, are Li at (0.0000, 0.0000, 0.0000), Li at (0.5000, 0.5000, 0.2522), In at (0.5000, 0.5000, 0.7407) and Ag at (0.0000, 0.0000, 0.4687).

The calculation puts the formation energy at -0.219 eV per atom. The calculation puts the mass density at 5.62 g/cm3. The value obtained for the volume is 69.85 Å³/cell. For the total DFT energy (no corrections), the calculation gives -17.603 eV per atom. The size of the total moment comes out at 0.00 μB/f.u.

3.
A plane-wave DFT calculation with meta-GGA SCAN was carried out for a PBEsol-optimized structure of Li2InAg.

The space group is P4/mmm (No. 123) and the conventional cell measures 4.5689, 4.5689 and 3.1561 Å, with angles of 90.00, 90.00 and 90.00 degrees. The distinct sites, in fractional coordinates, are Li at (0.0000, 0.5000, 0.0000), In at (0.0000, 0.0000, 0.5000) and Ag at (0.5000, 0.5000, 0.5000).

The calculation puts the formation energy at -0.289 eV per atom. The calculation puts the mass density at 5.96 g/cm3. The value obtained for the volume is 65.88 Å³/cell. For the total DFT energy (no corrections), the calculation gives -17.672 eV per atom. The size of the total moment comes out at 0.00 μB/f.u.

4.
A plane-wave DFT calculation with meta-GGA SCAN was carried out for a PBEsol-optimized structure of Li2InAg.

The space group is F-43m (No. 216) and the conventional cell measures 6.4785, 6.4785 and 6.4785 Å, with angles of 90.00, 90.00 and 90.00 degrees. The distinct sites, in fractional coordinates, are Li at (0.0000, 0.0000, 0.0000), Li at (0.2500, 0.2500, 0.2500), In at (0.0000, 0.0000, 0.5000) and Ag at (0.2500, 0.2500, 0.7500).

The calculation puts the formation energy at -0.354 eV per atom. The calculation puts the mass density at 5.78 g/cm3. The value obtained for the volume is 271.90 Å³/cell. For the total DFT energy (no corrections), the calculation gives -17.737 eV per atom. The size of the total moment comes out at 0.00 μB/f.u.

5.
A plane-wave DFT calculation with meta-GGA SCAN was carried out for a PBEsol-optimized structure of LuInAg2.

The space group is Fm-3m (No. 225) and the conventional cell measures 6.7799, 6.7799 and 6.7799 Å, with angles of 90.00, 90.00 and 90.00 degrees. The distinct sites, in fractional coordinates, are Lu at (0.0000, 0.0000, 0.0000), In at (0.0000, 0.0000, 0.5000) and Ag at (0.2500, 0.2500, 0.2500).

The calculation puts the formation energy at -0.387 eV per atom. The calculation puts the mass density at 10.77 g/cm3. The value obtained for the volume is 311.65 Å³/cell. For the total DFT energy (no corrections), the calculation gives -38.253 eV per atom. The size of the total moment comes out at 0.00 μB/f.u.

6.
A plane-wave DFT calculation with meta-GGA SCAN was carried out for a PBEsol-optimized structure of MgInAg.

The space group is I4mm (No. 107) and the conventional cell measures 3.1499, 3.1499 and 12.1004 Å, with angles of 90.00, 90.00 and 90.00 degrees. The distinct sites, in fractional coordinates, are Mg at (0.0000, 0.0000, 0.0000), In at (0.0000, 0.0000, 0.3112) and Ag at (0.0000, 0.0000, 0.6464).

The calculation puts the formation energy at -0.133 eV per atom. The calculation puts the mass density at 6.83 g/cm3. The value obtained for the volume is 120.06 Å³/cell. For the total DFT energy (no corrections), the calculation gives -23.376 eV per atom. The size of the total moment comes out at 0.00 μB/f.u.

7.
A plane-wave DFT calculation with meta-GGA SCAN was carried out for a PBEsol-optimized structure of Mg2InAg2.

The space group is P4/mbm (No. 127) and the conventional cell measures 7.4976, 7.4976 and 3.4612 Å, with angles of 90.00, 90.00 and 90.00 degrees. The distinct sites, in fractional coordinates, are Mg at (0.1609, 0.3391, 0.0000), In at (0.0000, 0.0000, 0.5000) and Ag at (0.1348, 0.6348, 0.5000).

The calculation puts the formation energy at -0.194 eV per atom. The calculation puts the mass density at 6.47 g/cm3. The value obtained for the volume is 194.57 Å³/cell. For the total DFT energy (no corrections), the calculation gives -21.408 eV per atom. The size of the total moment comes out at 0.00 μB/f.u.

8.
A plane-wave DFT calculation with meta-GGA SCAN was carried out for a PBEsol-optimized structure of MgInAg.

The space group is Imm2 (No. 44) and the conventional cell measures 3.3734, 3.9776 and 8.8072 Å, with angles of 90.00, 90.00 and 90.00 degrees. The distinct sites, in fractional coordinates, are Mg at (0.0000, 0.0000, 0.0000), In at (0.0000, 0.0000, 0.3267) and Ag at (0.0000, 0.0000, 0.6608).

The calculation puts the formation energy at -0.147 eV per atom. The calculation puts the mass density at 6.94 g/cm3. The value obtained for the volume is 118.17 Å³/cell. For the total DFT energy (no corrections), the calculation gives -23.389 eV per atom. The size of the total moment comes out at 0.00 μB/f.u.